## Y3HPt8 (GGA-PBE)

Data for a relaxed Y3HPt8 crystal.

For the calculated total energy, the calculation gives -6.81 eV per atom.

The space group is R3m (No. 160, hexagonal axes) and the conventional cell measures 5.4350, 5.4350 and 26.4584 Å, with angles of 90.00, 90.00 and 120.00 degrees. Symmetry generates all atoms from Y at (0.0000, 0.0000, 0.0000), Y at (0.0000, 0.0000, 0.1316), Y at (0.0000, 0.0000, 0.5244), H at (0.0000, 0.0000, 0.7064), Pt at (0.0000, 0.0000, 0.3211), Pt at (0.0000, 0.0000, 0.8222), Pt at (0.0086, 0.5043, 0.0732) and Pt at (0.1690, 0.3380, 0.9042).